A plane-wave DFT calculation with PBE was carried out for crystalline V3HPt at its relaxed geometry.

Structure (CIF):
```
data_V3HPt
_chemical_formula_sum 'V3 H1 Pt1'
_space_group_name_H-M_alt 'P m -3 m'
_space_group_IT_number 221
_space_group_name_Hall '-P 4 2 3'
_cell_length_a 3.862
_cell_length_b 3.862
_cell_length_c 3.862
_cell_angle_alpha 90.00
_cell_angle_beta 90.00
_cell_angle_gamma 90.00
loop_
_atom_site_label
_atom_site_type_symbol
_atom_site_fract_x
_atom_site_fract_y
_atom_site_fract_z
V1 V 0.000 0.000 0.500
H1 H 0.000 0.000 0.000
Pt1 Pt 0.500 0.500 0.500
```

Values from the calculation:
For the energy above the lowest structure with this stoichiometry, the calculation gives 0.000 eV/atom.


A plane-wave DFT calculation with PBE was carried out for crystalline Hf3ScRu at its relaxed geometry.

Structure (CIF):
```
data_Hf3ScRu
_chemical_formula_sum 'Hf3 Sc1 Ru1'
_space_group_name_H-M_alt 'P m -3 m'
_space_group_IT_number 221
_space_group_name_Hall '-P 4 2 3'
_cell_length_a 4.822
_cell_length_b 4.822
_cell_length_c 4.822
_cell_angle_alpha 90.00
_cell_angle_beta 90.00
_cell_angle_gamma 90.00
loop_
_atom_site_label
_atom_site_type_symbol
_atom_site_fract_x
_atom_site_fract_y
_atom_site_fract_z
Hf1 Hf 0.000 0.000 0.500
Sc1 Sc 0.000 0.000 0.000
Ru1 Ru 0.500 0.500 0.500
```

Values from the calculation:
For the energy above the lowest structure with this stoichiometry, the calculation gives 1.641 eV/atom.


A plane-wave DFT calculation with PBE was carried out for crystalline La5ErGa6 at its relaxed geometry.

Structure (CIF):
```
data_La5ErGa6
_chemical_formula_sum 'La5 Er1 Ga6'
_space_group_name_H-M_alt 'P 1 2/m 1'
_space_group_IT_number 10
_cell_length_a 5.267
_cell_length_b 7.460
_cell_length_c 8.367
_cell_angle_alpha 90.00
_cell_angle_beta 108.20
_cell_angle_gamma 90.00
loop_
_space_group_symop_operation_xyz
'x,y,z'
'-x,-y,-z'
'-x,y,-z'
'x,-y,z'
loop_
_atom_site_label
_atom_site_type_symbol
_atom_site_fract_x
_atom_site_fract_y
_atom_site_fract_z
La1 La 0.000 0.000 0.000
La2 La 0.327 0.000 0.654
La3 La 0.334 0.500 0.668
Er1 Er 0.000 0.500 0.000
Ga1 Ga 0.160 0.260 0.319
Ga2 Ga 0.500 0.257 0.000
```

Values from the calculation:
For the electronic total energy, the calculation gives -4.5123 eV per atom.


A plane-wave DFT calculation with PBE was carried out for crystalline MgCdRhF6 at its relaxed geometry.

Structure (CIF):
```
data_MgCdRhF6
_chemical_formula_sum 'Mg2 Cd2 Rh2 F12'
_space_group_name_H-M_alt 'P -3 1 c'
_space_group_IT_number 163
_space_group_name_Hall '-P 3 2c'
_cell_length_a 5.4064
_cell_length_b 5.4064
_cell_length_c 9.7245
_cell_angle_alpha 90.00
_cell_angle_beta 90.00
_cell_angle_gamma 120.00
loop_
_atom_site_label
_atom_site_type_symbol
_atom_site_fract_x
_atom_site_fract_y
_atom_site_fract_z
Mg1 Mg 0.3333 0.6667 0.2500
Cd1 Cd 0.0000 0.0000 0.0000
Rh1 Rh 0.3333 0.6667 0.7500
F1 F 0.0200 0.3558 0.1354
```

Values from the calculation:
For the electronic total energy, the calculation gives -4.5560 eV per atom.


A plane-wave DFT calculation with PBE was carried out for crystalline KTlZn2Br6 at its relaxed geometry.

Structure (CIF):
```
data_KTlZn2Br6
_chemical_formula_sum 'K4 Tl4 Zn8 Br24'
_space_group_name_H-M_alt 'C 1 2/c 1'
_space_group_IT_number 15
_cell_length_a 14.553
_cell_length_b 14.083
_cell_length_c 7.404
_cell_angle_alpha 90.00
_cell_angle_beta 101.22
_cell_angle_gamma 90.00
loop_
_space_group_symop_operation_xyz
'x,y,z'
'-x,-y,-z'
'-x,y,-z+1/2'
'x,-y,z+1/2'
'x+1/2,y+1/2,z'
'-x+1/2,-y+1/2,-z'
'-x+1/2,y+1/2,-z+1/2'
'x+1/2,-y+1/2,z+1/2'
loop_
_atom_site_label
_atom_site_type_symbol
_atom_site_fract_x
_atom_site_fract_y
_atom_site_fract_z
K1 K 0.000 0.189 0.250
Tl1 Tl 0.000 0.397 0.750
Zn1 Zn 0.212 0.086 0.762
Br1 Br 0.120 0.406 0.182
Br2 Br 0.139 0.231 0.646
Br3 Br 0.147 0.046 0.046
```

Values from the calculation:
For the electronic total energy, the calculation gives -2.6572 eV per atom.


Q: What is the formula in the fourth record?
A: MgCdRhF6